A relaxed Pm3YSn2 crystal, computed with PBE.

The structure in CIF format:
```
data_Pm3YSn2
_chemical_formula_sum 'Pm3 Y1 Sn2'
_space_group_name_H-M_alt 'P 1'
_space_group_IT_number 1
_space_group_name_Hall 'P 1'
_cell_length_a 4.6169
_cell_length_b 4.6169
_cell_length_c 8.6952
_cell_angle_alpha 90.00
_cell_angle_beta 90.00
_cell_angle_gamma 90.00
loop_
_atom_site_label
_atom_site_type_symbol
_atom_site_fract_x
_atom_site_fract_y
_atom_site_fract_z
_atom_site_occupancy
Sn1 Sn 0.5000 0.0000 0.7229 1
Sn2 Sn 0.0000 0.5000 0.2771 1
Pm1 Pm 0.5000 0.0000 0.3495 1
Pm2 Pm 0.0000 0.5000 0.6505 1
Pm3 Pm 0.0000 0.0000 0.0000 1
Y1 Y 0.5000 0.5000 0.0000 1
```

Results
The calculation puts the theoretical density at 6.8 g cm⁻³. As for the space group: P-4m2. The value obtained for the energy above the most stable polymorph in this dataset is 0 meV per atom. The value obtained for the formation enthalpy at 0 K is -0.586 eV/atom. For the total energy, the calculation gives -5.3733 eV per atom.